i:
An optimized crystal structure of Sc2HgP, computed with PBE.

Lattice parameters (Å, degrees): 3.273 3.273 7.628 90.00 90.00 101.65
Sites, in units of the cell vectors:
Sc: 0.000 0.000 0.210
Sc: 0.000 0.000 0.790
Hg: 0.500 0.500 0.500
P: 0.500 0.500 0.000

As for the space-group type: Cmmm, No. 65. The magnetization is 0.00 μB/f.u.

---

ii:
An optimized crystal structure of Sc2HgP, computed with PBE.

Lattice parameters (Å, degrees): 3.935 3.935 5.593 90.00 90.00 90.00
Sites, in units of the cell vectors:
Sc: 0.000 0.000 0.000
Sc: 0.500 0.500 0.500
Hg: 0.000 0.000 0.500
P: 0.500 0.500 0.000

As for the space-group type: P4/mmm, No. 123. The magnetization is 0.00 μB/f.u.

---

iii:
An optimized crystal structure of Sc2HgP, computed with PBE.

Lattice parameters (Å, degrees): 3.838 5.640 5.640 41.46 90.00 90.00
Sites, in units of the cell vectors:
Sc: 0.000 0.000 0.000
Sc: 0.500 0.289 0.289
Hg: 0.500 0.563 0.563
P: 0.000 0.752 0.752

As for the space-group type: Amm2, No. 38. The magnetization is 0.00 μB/f.u.

---

iv:
An optimized crystal structure of Sc2HgP, computed with PBE.

Lattice parameters (Å, degrees): 3.323 3.419 7.029 90.00 96.69 90.00
Sites, in units of the cell vectors:
Sc: 0.064 0.000 0.288
Sc: 0.936 0.000 0.712
Hg: 0.500 0.500 0.000
P: 0.500 0.500 0.500

As for the space-group type: P2/m, No. 10. The magnetization is 0.08 μB/f.u.

---

Which of them is most stable? Easy: iv.

---

i:
An optimized crystal structure of Sc2HgP, computed with PBE.

Lattice parameters (Å, degrees): 7.412 7.412 7.412 152.97 151.46 39.72
Sites, in units of the cell vectors:
Sc: 0.000 0.000 0.000
Sc: 0.704 0.204 0.500
Hg: 0.318 0.818 0.500
P: 0.560 0.560 0.000

As for the space-group type: Imm2, No. 44. The magnetization is 0.35 μB/f.u.

---

ii:
An optimized crystal structure of Sc2HgP, computed with PBE.

Lattice parameters (Å, degrees): 3.441 3.441 6.576 90.00 90.00 90.00
Sites, in units of the cell vectors:
Sc: 0.000 0.000 0.217
Sc: 0.000 0.000 0.783
Hg: 0.500 0.500 0.500
P: 0.500 0.500 0.000

As for the space-group type: P4/mmm, No. 123. The magnetization is 0.79 μB/f.u.

---

Which of them is most stable? Easy: ii.

---

i:
An optimized crystal structure of Sc2HgP, computed with PBE.

Lattice parameters (Å, degrees): 4.811 4.811 4.811 60.00 60.00 60.00
Sites, in units of the cell vectors:
Sc: 0.250 0.250 0.250
Sc: 0.750 0.750 0.750
Hg: 0.000 0.000 0.000
P: 0.500 0.500 0.500

As for the space-group type: Fm-3m, No. 225. The magnetization is 0.71 μB/f.u.

---

ii:
An optimized crystal structure of Sc2HgP, computed with PBE.

Lattice parameters (Å, degrees): 7.791 7.791 7.791 27.01 27.01 27.01
Sites, in units of the cell vectors:
Sc: 0.000 0.000 0.000
Sc: 0.200 0.200 0.200
Hg: 0.432 0.432 0.432
P: 0.601 0.601 0.601

As for the space-group type: R3m, No. 160. The magnetization is 0.00 μB/f.u.

---

iii:
An optimized crystal structure of Sc2HgP, computed with PBE.

Lattice parameters (Å, degrees): 5.201 5.201 5.201 136.73 118.78 77.90
Sites, in units of the cell vectors:
Sc: 0.218 0.218 0.000
Sc: 0.782 0.782 0.000
Hg: 0.500 0.000 0.500
P: 0.000 0.500 0.500

As for the space-group type: Immm, No. 71. The magnetization is 0.00 μB/f.u.

---

iv:
An optimized crystal structure of Sc2HgP, computed with PBE.

Lattice parameters (Å, degrees): 4.887 4.887 4.887 60.00 60.00 60.00
Sites, in units of the cell vectors:
Sc: 0.000 0.000 0.000
Sc: 0.250 0.250 0.250
Hg: 0.750 0.750 0.750
P: 0.500 0.500 0.500

As for the space-group type: F-43m, No. 216. The magnetization is 1.12 μB/f.u.

---

Which of them is most stable? Easy: ii.

---

i:
An optimized crystal structure of Sc2HgP, computed with PBE.

Lattice parameters (Å, degrees): 6.147 6.147 6.147 107.40 107.40 113.70
Sites, in units of the cell vectors:
Sc: 0.092 0.125 0.467
Sc: 0.375 0.908 0.033
Sc: 0.658 0.625 0.533
Sc: 0.875 0.342 0.967
Hg: 0.250 0.750 0.500
Hg: 0.500 0.500 0.000
P: 0.000 0.000 0.000
P: 0.750 0.250 0.500

As for the space-group type: I-42d, No. 122. The magnetization is 0.00 μB/f.u.

---

ii:
An optimized crystal structure of Sc2HgP, computed with PBE.

Lattice parameters (Å, degrees): 7.700 7.700 7.700 27.45 27.45 27.45
Sites, in units of the cell vectors:
Sc: 0.234 0.234 0.234
Sc: 0.766 0.766 0.766
Hg: 0.000 0.000 0.000
P: 0.500 0.500 0.500

As for the space-group type: R-3m, No. 166. The magnetization is 0.00 μB/f.u.

---

Which of them is most stable? Easy: ii.